No. 1
DFT (PBE) results for Mg8Cd2Au after structural relaxation.

Cell and atoms, written as extended XYZ:
```
11
Lattice="4.837 0.000 0.000 0.000 6.652 -0.126 -2.418 -3.007 7.488" Properties=species:S:1:pos:R:3 pbc="T T T"
Mg 0.000 1.599 5.619
Mg 2.418 5.146 2.145
Mg 2.418 3.289 4.632
Mg 2.418 -1.378 7.316
Mg 0.000 0.356 2.730
Mg 0.000 -1.501 5.217
Mg 2.418 2.046 1.743
Mg 0.000 5.023 0.046
Cd 2.418 0.220 4.736
Cd 0.000 3.426 2.626
Au 2.418 0.000 0.000
```

Summary:
Uncorrected energy ... -0.06590 hartree per atom
Formation energy from the elements ... -0.17 eV/atom
DOS(E_F) ... 3.67 states/eV/cell
Space group ... C2/m (12)



No. 2
DFT (PBE) results for Ga2CuSb after structural relaxation.

Cell and atoms, written as extended XYZ:
```
8
Lattice="6.355 0.000 0.000 0.000 6.355 0.000 3.177 3.177 4.972" Properties=species:S:1:pos:R:3 pbc="T T T"
Sb 0.000 0.000 0.000
Sb 6.355 3.177 2.486
Cu 3.177 3.177 0.000
Cu 3.177 6.355 2.486
Ga 4.538 1.589 1.243
Ga 1.817 4.766 1.243
Ga 4.766 4.994 3.729
Ga 7.944 7.715 3.729
```

Summary:
Uncorrected energy ... -0.12210 hartree per atom
Uncorrected formation energy ... 0.245 eV per atom
DOS(E_F) ... 2.05 states/eV/cell
Space group ... I-42d (122)



No. 3
DFT (PBE) results for Ce4YSc3Se8 after structural relaxation.

Cell and atoms, written as extended XYZ:
```
16
Lattice="-1.468 -1.873 7.701 2.018 -7.814 -1.516 5.239 5.858 -1.795" Properties=species:S:1:pos:R:3 pbc="T T T"
Ce -0.734 -0.937 3.851
Ce 1.885 1.993 2.953
Ce 0.000 0.000 0.000
Ce 2.619 2.929 -0.897
Y 1.009 -3.907 -0.758
Sc 0.275 -4.844 3.093
Sc 2.894 -1.914 2.195
Sc 3.629 -0.978 -1.655
Se 6.251 -0.403 -0.966
Se 3.693 -3.264 -0.090
Se 2.889 0.387 0.645
Se 5.534 -1.318 2.794
Se 0.255 -2.511 1.596
Se 2.899 -4.216 3.746
Se 2.096 -0.565 4.480
Se -0.462 -3.426 5.357
```

Summary:
Uncorrected energy ... -0.24027 hartree per atom
Uncorrected formation energy ... -1.721 eV per atom
DOS(E_F) ... 26.10 states/eV/cell
Space group ... R-3m (166)



No. 4
DFT (PBE) results for AgSb after structural relaxation.

Cell and atoms, written as extended XYZ:
```
6
Lattice="1.612 6.901 0.083 -1.612 6.901 0.083 0.000 3.142 6.576" Properties=species:S:1:pos:R:3 pbc="T T T"
Ag 0.000 3.568 6.478
Ag 0.000 11.230 4.153
Ag 0.000 8.692 2.026
Sb 0.000 5.625 1.969
Sb 0.000 15.544 4.488
Sb 0.000 6.490 6.563
```

Summary:
Uncorrected energy ... -0.12371 hartree per atom
Uncorrected formation energy ... 0.121 eV per atom
DOS(E_F) ... 2.41 states/eV/cell
Space group ... Cm (8)



No. 5
DFT (PBE) results for BaLi2Cu2 after structural relaxation.

Cell and atoms, written as extended XYZ:
```
10
Lattice="7.923 0.000 0.000 0.000 7.923 0.000 0.000 0.000 3.219" Properties=species:S:1:pos:R:3 pbc="T T T"
Ba 0.000 0.000 0.000
Ba 3.962 3.962 0.000
Cu 1.329 5.291 1.609
Cu 5.291 6.594 1.609
Cu 6.594 2.633 1.609
Cu 2.633 1.329 1.609
Li 3.044 7.006 0.000
Li 7.006 4.879 0.000
Li 4.879 0.918 0.000
Li 0.918 3.044 0.000
```

Summary:
Uncorrected energy ... -0.09724 hartree per atom
Formation energy from the elements ... 0.14 eV/atom
DOS(E_F) ... 3.99 states/eV/cell
Space group ... P4/mbm (127)



No. 6
DFT (PBE) results for CePaMn after structural relaxation.

Cell and atoms, written as extended XYZ:
```
12
Lattice="5.699 0.000 0.000 0.000 6.297 -2.146 0.000 0.994 7.128" Properties=species:S:1:pos:R:3 pbc="T T T"
Ce 2.230 2.173 5.991
Ce 3.469 5.118 -1.008
Ce 5.079 2.466 3.629
Ce 0.619 4.825 1.354
Pa 4.856 2.043 0.257
Pa 3.692 5.688 2.748
Pa 0.843 5.248 4.726
Pa 2.006 1.603 2.235
Mn 2.378 3.857 3.774
Mn 3.321 3.434 1.209
Mn 0.471 0.212 1.283
Mn 5.227 7.079 3.700
```

Summary:
Uncorrected energy ... -0.29955 hartree per atom
Formation energy from the elements ... 0.05 eV/atom
DOS(E_F) ... 23.39 states/eV/cell
Space group ... P2_1/c (14)



No. 7
DFT (PBE) results for Rb3Tl4Hg2 after structural relaxation.

Cell and atoms, written as extended XYZ:
```
9
Lattice="-2.487 4.284 -2.661 -4.123 -1.885 -5.121 -9.401 0.522 3.684" Properties=species:S:1:pos:R:3 pbc="T T T"
Rb -9.877 0.101 -2.489
Rb 0.000 0.000 0.000
Rb -6.134 2.820 -1.609
Tl -2.912 0.488 -2.434
Tl -13.100 2.433 -1.664
Tl -10.206 3.794 -2.177
Tl -5.805 -0.873 -1.921
Hg -6.815 0.538 -4.646
Hg -9.196 2.383 0.548
```

Summary:
Uncorrected energy ... -0.05746 hartree per atom
Formation energy from the elements ... -0.12 eV/atom
DOS(E_F) ... 4.95 states/eV/cell
Space group ... C2/m (12)



No. 8
DFT (PBE) results for PtRhI2O after structural relaxation.

Cell and atoms, written as extended XYZ:
```
5
Lattice="-0.866 4.999 1.724 -3.633 -1.691 3.080 3.623 -0.711 3.883" Properties=species:S:1:pos:R:3 pbc="T T T"
I 1.812 -0.356 1.941
I -0.433 2.499 0.862
Rh -1.816 -0.846 1.540
O -0.438 1.298 4.343
Pt 0.000 0.000 0.000
```

Summary:
Uncorrected energy ... -0.10906 hartree per atom
Uncorrected formation energy ... 1.322 eV per atom
DOS(E_F) ... 17.36 states/eV/cell
Space group ... P4/mmm (123)



No. 9
DFT (PBE) results for LaSe2F after structural relaxation.

Cell and atoms, written as extended XYZ:
```
8
Lattice="4.507 -0.001 0.000 -1.331 6.274 0.000 -0.846 -2.160 6.815" Properties=species:S:1:pos:R:3 pbc="T T T"
F 1.851 0.772 6.096
F 0.479 3.342 0.719
Se 3.311 0.786 2.229
Se -0.982 3.328 4.585
Se 0.000 0.000 0.000
Se 1.830 -1.080 3.407
La 2.706 3.848 1.618
La -0.376 0.265 5.196
```

Summary:
Uncorrected energy ... -0.20610 hartree per atom
Uncorrected formation energy ... -2.166 eV per atom
Space group ... P-1 (2)



No. 10
DFT (PBE) results for RePbW2 after structural relaxation.

Cell and atoms, written as extended XYZ:
```
4
Lattice="-2.108 0.366 -2.114 -1.923 -1.637 1.634 -2.529 6.634 3.670" Properties=species:S:1:pos:R:3 pbc="T T T"
Pb -2.648 1.023 0.677
Re -3.912 4.340 2.512
W -2.434 6.386 3.533
W -1.359 3.565 1.972
```

Summary:
Uncorrected energy ... -0.36225 hartree per atom
Formation energy from the elements ... 0.66 eV/atom
DOS(E_F) ... 2.94 states/eV/cell
Space group ... P4/mmm (123)



No. 11
DFT (PBE) results for TeMo2Br after structural relaxation.

Cell and atoms, written as extended XYZ:
```
4
Lattice="-1.945 -2.211 2.426 2.494 -2.284 -0.082 3.022 3.114 5.261" Properties=species:S:1:pos:R:3 pbc="T T T"
Mo 2.097 -1.480 0.333
Mo 3.156 -0.390 2.175
Te 0.407 -0.898 2.508
Br 3.165 -0.483 5.097
```

Summary:
Uncorrected energy ... -0.22475 hartree per atom
Uncorrected formation energy ... 0.503 eV per atom
DOS(E_F) ... 2.89 states/eV/cell
Space group ... Pmmm (47)



No. 12
DFT (PBE) results for NaZn3Ag after structural relaxation.

Cell and atoms, written as extended XYZ:
```
5
Lattice="-3.032 -1.284 -3.723 2.403 -4.325 -0.466 -3.120 -2.084 3.260" Properties=species:S:1:pos:R:3 pbc="T T T"
Na -1.874 -3.847 -0.465
Zn 1.202 -2.163 -0.233
Zn -1.560 -1.042 1.630
Zn -1.516 -0.642 -1.861
Ag 0.000 0.000 0.000
```

Summary:
Uncorrected energy ... -0.05090 hartree per atom
Formation energy from the elements ... 0.21 eV/atom
DOS(E_F) ... 1.87 states/eV/cell
Space group ... Pm-3m (221)